Entry 1:
Here is a geometry-optimized Bi2TeO6 structure from Alexandria via LeMat-Bulk. Energies are from GGA-PBEsol.

a b c (Å): 5.3835 16.5314 5.4071
angles (deg): 90.00 90.00 90.00
Space group Cmce (No. 64)
One atom of each set of equivalent atoms:
Bi (0.0000, 0.1724, 0.0093) [8 per cell]
Te (0.0000, 0.0000, 0.5000) [4 per cell]
O (0.0000, 0.1108, 0.4190) [8 per cell]
O (0.2500, 0.0314, 0.7500) [8 per cell]
O (0.2500, 0.2496, 0.2500) [8 per cell]

Values from the calculation:
magnetization = 0.000 μB per atom
electronic total energy = -6.05 eV per atom
uncorrected formation energy = -1.20 eV/atom



Entry 2:
Here is a geometry-optimized ZrCrTe2N structure from Alexandria via LeMat-Bulk. Energies are from GGA-PBEsol.

a b c (Å): 5.6772 5.6772 3.8944
angles (deg): 90.00 90.00 90.00
Space group P4/mmm (No. 123)
One atom of each set of equivalent atoms:
Zr (0.0000, 0.0000, 0.0000) [1 per cell]
Cr (0.5000, 0.5000, 0.5000) [1 per cell]
Te (0.0000, 0.5000, 0.0000) [2 per cell]
N (0.0000, 0.0000, 0.5000) [1 per cell]

Values from the calculation:
Fermi-level density of states = 3.6 states/eV per cell
magnetization = 0.765 μB per atom
electronic total energy = -6.68 eV per atom
uncorrected formation energy = 0.30 eV/atom



Entry 3:
Here is a geometry-optimized BaPtBr2 structure from Alexandria via LeMat-Bulk. Energies are from GGA-PBEsol.

a b c (Å): 4.9315 4.9315 4.1014
angles (deg): 90.00 90.00 90.00
Space group P4/mmm (No. 123)
One atom of each set of equivalent atoms:
Ba (0.0000, 0.0000, 0.0000) [1 per cell]
Pt (0.5000, 0.5000, 0.0000) [1 per cell]
Br (0.0000, 0.5000, 0.5000) [2 per cell]

Values from the calculation:
Fermi-level density of states = 3.2 states/eV per cell
ΔE to the lowest computed polymorph = 0.256 eV per formula unit
magnetization = 0.000 μB per atom
electronic total energy = -3.90 eV per atom
uncorrected formation energy = -0.69 eV/atom



Entry 4:
Here is a geometry-optimized BePSeO2 structure from Alexandria via LeMat-Bulk. Energies are from GGA-PBEsol.

a b c (Å): 3.6530 3.6530 4.9674
angles (deg): 90.00 90.00 90.00
Space group P4/mmm (No. 123)
One atom of each set of equivalent atoms:
Be (0.0000, 0.0000, 0.0000) [1 per cell]
P (0.5000, 0.5000, 0.0000) [1 per cell]
Se (0.5000, 0.5000, 0.5000) [1 per cell]
O (0.0000, 0.5000, 0.5000) [2 per cell]

Values from the calculation:
Fermi-level density of states = 1.7 states/eV per cell
magnetization = 0.000 μB per atom
electronic total energy = -4.57 eV per atom
uncorrected formation energy = 0.25 eV/atom